Below is an optimized crystal structure of Na4FePd3O8, with properties calculated at the PBE with a Hubbard U level.

Lattice parameters (Å, degrees): 10.964 6.483 6.514 90.00 125.60 90.00
Space group C2/m (No. 12)
One atom of each set of equivalent atoms:
Na1 0.000 0.000 0.000 (multiplicity 2)
Na2 0.000 0.500 0.000 (multiplicity 2)
Na3 0.250 0.250 0.000 (multiplicity 4)
Fe1 0.000 0.000 0.500 (multiplicity 2)
Pd1 0.000 0.500 0.500 (multiplicity 2)
Pd2 0.250 0.250 0.500 (multiplicity 4)
O1 0.018 0.265 0.302 (multiplicity 8)
O2 0.230 0.500 0.734 (multiplicity 4)
O3 0.236 0.000 0.687 (multiplicity 4)

Values from the calculation:
As for the magnetic moment: 0.125 μB/atom. For the density of states at the Fermi level, the calculation gives 3.69 states/eV per cell. The uncorrected energy is -5.1373 eV per atom.